MnHgSe2O8: relaxed, PBE+U. Values from VASP.

Cell and atoms, written as Quantum ESPRESSO input:
```
&SYSTEM
  ibrav = 0, nat = 12, ntyp = 4
/
ATOMIC_SPECIES
Mn 54.94 Mn.upf
Hg 200.59 Hg.upf
Se 78.96 Se.upf
O 16.00 O.upf
CELL_PARAMETERS angstrom
4.3585 -2.8749 0.0000
4.3585 2.8749 0.0000
-0.6461 0.0000 7.4234
ATOMIC_POSITIONS crystal
Mn 0.0000 0.0000 0.0000
Hg 0.0000 0.0000 0.5000
Se 0.3435 0.3435 0.7698
Se 0.6565 0.6565 0.2302
O 0.2180 0.6948 0.7800
O 0.2327 0.2327 0.9388
O 0.2478 0.2478 0.5613
O 0.3052 0.7820 0.2200
O 0.6948 0.2180 0.7800
O 0.7522 0.7522 0.4387
O 0.7673 0.7673 0.0612
O 0.7820 0.3052 0.2200
```

Computed properties:
Raw total energy in eV/atom: -5.32
Density in g/cm3: 4.833
Magnetic moment in μB/f.u.: 5.00
Symmetry: No. 12